# 1
Compound: GaAuO3
Source: Alexandria via LeMat-Bulk
Functional: GGA-PBE
Structure: relaxed

Structure (POSCAR):
```
GaAuO3
1.0
2.658 1.535 4.888
-2.658 1.535 4.888
0.000 -3.069 4.888
Ga Au O
2 2 6
direct
0.149 0.149 0.149
0.851 0.851 0.851
0.353 0.353 0.353
0.647 0.647 0.647
0.049 0.780 0.449
0.220 0.551 0.951
0.449 0.049 0.780
0.551 0.951 0.220
0.780 0.449 0.049
0.951 0.220 0.551
```

Output
Its total DFT energy (no corrections) is -4.8539 eV per atom. The space group is R-3.



# 2
Compound: SiRh3C
Source: Alexandria via LeMat-Bulk
Functional: GGA-PBE
Structure: relaxed

Structure (POSCAR):
```
SiRh3C
1.0
4.045 0.000 0.000
0.000 4.045 0.000
0.000 0.000 4.045
Si Rh C
1 3 1
direct
0.000 0.000 0.000
0.000 0.500 0.500
0.500 0.000 0.500
0.500 0.500 0.000
0.500 0.500 0.500
```

Output
Its total DFT energy (no corrections) is -7.1911 eV per atom. The space group is Pm-3m.



# 3
Compound: P2C
Source: Alexandria via LeMat-Bulk
Functional: GGA-PBE
Structure: relaxed

Structure (POSCAR):
```
P2C
1.0
3.541 0.000 0.000
-1.755 3.916 0.000
-1.741 -1.112 4.085
P C
2 1
direct
0.091 0.351 0.329
0.909 0.649 0.671
0.000 0.500 0.000
```

Output
Its energy of formation from the pure elements is 2.5 eV/f.u. The space group is P-1.



# 4
Compound: KScCu2F8
Source: Alexandria via LeMat-Bulk
Functional: GGA-PBE
Structure: relaxed

Structure (POSCAR):
```
KScCu2F8
1.0
5.966 0.000 0.000
-2.983 5.167 0.000
0.000 0.000 7.228
K Sc Cu F
1 1 2 8
direct
0.000 0.000 0.000
0.000 0.000 0.500
0.333 0.667 0.234
0.667 0.333 0.766
0.155 0.309 0.327
0.155 0.845 0.327
0.309 0.155 0.673
0.333 0.667 0.983
0.667 0.333 0.017
0.691 0.845 0.327
0.845 0.155 0.673
0.845 0.691 0.673
```

Output
Its total DFT energy (no corrections) is -4.9672 eV per atom. The space group is P-3m1.



# 5
Compound: LaBi2SbRu
Source: Alexandria via LeMat-Bulk
Functional: GGA-PBE
Structure: relaxed

Structure (POSCAR):
```
LaBi2SbRu
1.0
5.267 0.000 0.000
0.000 5.267 0.000
0.000 0.000 5.394
La Bi Sb Ru
1 2 1 1
direct
0.000 0.000 0.000
0.000 0.500 0.500
0.500 0.000 0.500
0.500 0.500 0.000
0.000 0.000 0.500
```

Output
Its total DFT energy (no corrections) is -5.4004 eV per atom. The space group is P4/mmm.



# 6
Compound: Be2SbP
Source: Alexandria via LeMat-Bulk
Functional: GGA-PBE
Structure: relaxed

Structure (POSCAR):
```
Be2SbP
1.0
-1.767 1.767 4.954
1.767 -1.767 4.954
1.767 1.767 -4.954
Be Sb P
2 1 1
direct
0.000 0.000 0.000
0.750 0.250 0.500
0.500 0.500 0.000
0.250 0.750 0.500
```

Output
Its total DFT energy (no corrections) is -3.6120 eV per atom. The space group is I-4m2.